No. 1
The following is a SCAN calculation of a crystal of Sr2Ca relaxed with PBEsol, from Alexandria via LeMat-Bulk. Values from VASP.

Geometry as Quantum ESPRESSO input:
```
&SYSTEM
  ibrav = 0, nat = 6, ntyp = 2
/
ATOMIC_SPECIES
Sr 87.62 Sr.upf
Ca 40.08 Ca.upf
ATOMIC_POSITIONS crystal
Sr 0.297 0.547 0.750
Sr 0.453 0.703 0.750
Sr 0.547 0.297 0.250
Sr 0.703 0.453 0.250
Ca 0.125 0.875 0.250
Ca 0.875 0.125 0.750
CELL_PARAMETERS angstrom
-1.970 1.970 18.774
1.970 -1.970 18.774
1.970 1.970 -18.774
```


No. 2
The following is a SCAN calculation of a crystal of SrCa relaxed with PBEsol, from Alexandria via LeMat-Bulk. Values from VASP.

Geometry as Quantum ESPRESSO input:
```
&SYSTEM
  ibrav = 0, nat = 4, ntyp = 2
/
ATOMIC_SPECIES
Sr 87.62 Sr.upf
Ca 40.08 Ca.upf
ATOMIC_POSITIONS crystal
Sr 0.174 0.826 0.750
Sr 0.826 0.174 0.250
Ca 0.436 0.564 0.750
Ca 0.564 0.436 0.250
CELL_PARAMETERS angstrom
1.958 -7.511 0.000
1.958 7.511 0.000
0.000 0.000 6.350
```


No. 3
The following is a SCAN calculation of a crystal of Sr2Ca relaxed with PBEsol, from Alexandria via LeMat-Bulk. Values from VASP.

Geometry as Quantum ESPRESSO input:
```
&SYSTEM
  ibrav = 0, nat = 24, ntyp = 2
/
ATOMIC_SPECIES
Sr 87.62 Sr.upf
Ca 40.08 Ca.upf
ATOMIC_POSITIONS crystal
Sr 0.000 0.000 0.000
Sr 0.000 0.000 0.500
Sr 0.000 0.500 0.000
Sr 0.181 0.181 0.569
Sr 0.181 0.569 0.181
Sr 0.181 0.569 0.569
Sr 0.431 0.431 0.819
Sr 0.431 0.819 0.431
Sr 0.431 0.819 0.819
Sr 0.500 0.000 0.000
Sr 0.569 0.181 0.181
Sr 0.569 0.181 0.569
Sr 0.569 0.569 0.181
Sr 0.819 0.431 0.431
Sr 0.819 0.431 0.819
Sr 0.819 0.819 0.431
Ca 0.125 0.792 0.792
Ca 0.208 0.208 0.208
Ca 0.208 0.208 0.875
Ca 0.208 0.875 0.208
Ca 0.792 0.125 0.792
Ca 0.792 0.792 0.125
Ca 0.792 0.792 0.792
Ca 0.875 0.208 0.208
CELL_PARAMETERS angstrom
0.000 8.449 8.449
8.449 0.000 8.449
8.449 8.449 0.000
```


| no. | size of the total moment (μB/cell) | ΔH_f (0 K) (kJ/mol of formula units) |
| --- | --- | --- |
| 1 | 0.37 | 26.5 |
| 2 | 0.55 | 9.0 |
| 3 | 0.21 | 16.0 |